4
Lattice="-0.872 3.716 1.249 -3.773 1.357 -0.216 -2.756 -0.678 6.551" Properties=species:S:1:pos:R:3 comment="NaAcO2 PBE-GGA relaxed" space_group="R-3m (166)" final_energy_ev_per_cell=-20.670 raw_formation_energy_ev_per_atom=-1.332 m_tot_mub_per_cell=0.9 e_above_lowest_polymorph_mev_per_atom=1262 pbc="T T T"
Na -3.701 2.198 3.791
Ac 0.000 0.000 0.000
O -2.380 0.060 4.617
O -5.022 4.335 2.966

***

4
Lattice="-2.781 1.297 -0.185 -0.451 -0.542 2.992 3.299 7.333 1.826" Properties=species:S:1:pos:R:3 comment="CaTa2Co PBE-GGA relaxed" space_group="P4mm (99)" final_energy_ev_per_cell=-31.945 ef_ev_per_atom=0.2169 m_tot_mub_per_cell=0.0 e_above_lowest_polymorph_mev_per_atom=0 pbc="T T T"
Ca 1.773 3.943 0.982
Co 1.044 6.291 2.877
Ta 3.160 7.025 1.749
Ta -0.963 1.831 1.766

***

7
Lattice="4.232 0.000 0.000 -2.116 5.727 -0.140 0.000 -2.808 6.694" Properties=species:S:1:pos:R:3 comment="Pr2Sn2Pd3 PBE-GGA relaxed" space_group="C2/m (12)" final_energy_ev_per_cell=-38.714 ef_ev_per_atom=-0.7959 m_tot_mub_per_cell=0.0 pbc="T T T"
Pr 2.116 3.585 1.500
Pr 0.000 -0.665 5.054
Sn 2.116 1.809 5.008
Sn 0.000 1.111 1.546
Pd 2.116 0.000 0.000
Pd 2.116 -0.029 2.875
Pd 0.000 2.948 3.679

***

10
Lattice="-3.267 2.661 3.168 -3.281 -4.102 0.063 2.497 -1.932 4.198" Properties=species:S:1:pos:R:3 comment="Ho2AlPbO6 PBE-GGA relaxed" space_group="P4mm (99)" final_energy_ev_per_cell=-71.358 raw_formation_energy_ev_per_atom=-2.500 m_tot_mub_per_cell=0.0 pbc="T T T"
Ho -4.839 0.555 3.134
Ho -1.951 1.640 5.201
Al -1.962 1.598 1.903
Pb -2.149 -1.586 3.835
O -2.609 0.572 3.345
O -1.275 -0.461 5.589
O -0.780 -2.701 2.507
O -0.847 0.690 0.822
O -3.028 -2.653 5.622
O -4.362 -1.620 3.379

***

12
Lattice="-0.252 -1.451 -3.317 3.548 -1.736 0.490 -7.193 -12.949 6.211" Properties=species:S:1:pos:R:3 comment="Be2Te PBE-GGA relaxed" space_group="Pnma (62)" final_energy_ev_per_cell=-40.290 raw_formation_energy_ev_per_atom=0.174 m_tot_mub_per_cell=0.0 e_above_lowest_polymorph_mev_per_atom=153 pbc="T T T"
Be -4.773 -9.833 3.671
Be -0.394 -4.529 -0.967
Be -3.502 -11.608 4.351
Be 0.877 -6.303 -0.287
Be -1.350 -4.606 1.125
Be -4.981 -11.851 2.584
Be 1.085 -4.285 0.800
Be -2.546 -11.530 2.259
Te -0.232 -6.656 1.937
Te -3.863 -13.901 3.397
Te -0.033 -2.235 -0.012
Te -3.664 -9.480 1.447

***

8
Lattice="4.181 0.000 0.000 0.000 7.366 -0.189 0.000 2.551 6.803" Properties=species:S:1:pos:R:3 comment="Ce4BiSeS2 PBE-GGA relaxed" space_group="P2/m (10)" final_energy_ev_per_cell=-52.331 raw_formation_energy_ev_per_atom=-1.622 m_tot_mub_per_cell=3.5 pbc="T T T"
Ce 0.000 7.626 4.801
Ce 4.181 2.291 1.813
Ce 2.090 6.352 1.575
Ce 2.090 3.565 5.039
Bi 2.090 3.683 -0.095
Se 0.000 4.958 3.307
S 0.000 2.551 6.803
S 2.090 1.276 3.401

***

15
Lattice="-1.147 -7.558 -2.825 7.153 2.071 3.309 -6.539 -0.703 4.536" Properties=species:S:1:pos:R:3 comment="NaLi3U3Se8 PBE-GGA relaxed" space_group="R-3m (166)" final_energy_ev_per_cell=-86.141 raw_formation_energy_ev_per_atom=-1.156 m_tot_mub_per_cell=6.0 pbc="T T T"
Na -3.270 -0.352 2.268
Li 0.000 0.000 0.000
Li 3.576 1.036 1.655
Li 3.003 -2.743 0.242
U -3.843 -4.130 0.855
U -0.267 -3.095 2.510
U 0.307 0.684 3.923
Se 1.679 -1.008 2.016
Se -2.212 -5.181 3.005
Se 0.979 -4.788 0.656
Se -1.512 -1.402 4.364
Se -2.440 -5.778 -0.926
Se 1.907 -0.412 5.946
Se -1.892 -2.165 0.425
Se 1.359 -4.024 4.596

***

6
Lattice="-1.140 -2.883 -0.897 2.919 0.959 -0.987 5.172 -5.225 10.222" Properties=species:S:1:pos:R:3 comment="AlSnPd PBE-GGA relaxed" space_group="P-6m2 (187)" final_energy_ev_per_cell=-27.775 ef_ev_per_atom=-0.3165 m_tot_mub_per_cell=0.0 pbc="T T T"
Pd 2.087 -0.428 -1.275
Pd 4.675 -3.041 3.835
Sn 2.459 -3.450 2.159
Sn 4.185 -5.193 5.570
Al 4.954 -4.585 8.442
Al 1.260 -0.854 1.143